Computed, not measured: a relaxed Cr2IrRh crystal at the GGA-PBEsol level of DFT.

Results
Symmetry   Cmmm (65)
Crystal system   orthorhombic
Raw total energy   -9.73 eV per atom
N(E_F)   3.39 states/eV/cell
Volume   12.6 Å³ per atom
Formation enthalpy at 0 K   -0.117 eV/atom

```
data_Cr2IrRh
_cell_length_a 4.4861
_cell_length_b 4.4861
_cell_length_c 2.6293
_cell_angle_alpha 90.00
_cell_angle_beta 90.00
_cell_angle_gamma 108.39
_symmetry_space_group_name_H-M 'P 1'
_symmetry_Int_Tables_number 1
loop_
_symmetry_equiv_pos_as_xyz
'x,y,z'
loop_
_atom_site_label
_atom_site_type_symbol
_atom_site_fract_x
_atom_site_fract_y
_atom_site_fract_z
_atom_site_occupancy
Cr1 Cr 0.0000 0.5000 0.0000 1
Cr2 Cr 0.5000 0.0000 0.0000 1
Ir1 Ir 0.0000 0.0000 0.5000 1
Rh1 Rh 0.5000 0.5000 0.5000 1
```